A geometry-optimized Tb2Dy5Sc5 structure, computed with GGA-PBE.

Geometry as POSCAR:
```
Tb2Dy5Sc5
1.0
4.843 0.000 0.000
-2.421 7.252 -0.463
0.000 -4.221 9.995
Tb Dy Sc
2 5 5
Cartesian
0.000 -1.939 7.376
2.421 4.970 2.157
2.421 -2.110 4.998
0.000 4.860 -0.303
2.421 0.210 2.440
2.421 -1.828 9.836
0.000 2.821 7.093
2.421 0.482 7.226
0.000 0.366 4.855
0.000 2.549 2.307
2.421 2.665 4.678
0.000 0.000 0.000
```

Values from the calculation:
- Density of states at the Fermi level: 1.490 states/eV/atom
- VASP energy: -5.2775 eV/atom
- SG: C2/m, No. 12
- E_form: 0.05 eV per atom
- Total moment: 0.0 μB/f.u.
- Offset from the most stable computed form: 0.00 eV per formula unit